DFT (PBE with a Hubbard U) results for a relaxed Rb2CoSeF6 crystal.

Unit cell a=6.4888 b=6.4888 c=6.2166 alpha=58.54 beta=58.54 gamma=90.00
Last column: nearest neighbours and their distance in Å.
Fractional positions:
F 0.7148 0.2852 0.0000  1 Co 1.97
F 0.2329 0.2329 0.5341  1 Se 1.95
F 0.7671 0.7671 0.4659  1 Se 1.95
F 0.2852 0.7148 0.0000  1 Co 1.97
F 0.2852 0.2852 0.0000  1 Co 1.97
F 0.7148 0.7148 0.0000  1 Co 1.97
Se 0.0000 0.0000 0.0000  2 F 1.95
Rb 0.7500 0.2500 0.5000  12 F 3.13-3.25
Rb 0.2500 0.7500 0.5000  12 F 3.13-3.25
Co 0.5000 0.5000 0.0000  4 F 1.97

Results
Its calculated volume is 17.661 Å³ per atom. Its total energy is -4.203 eV/atom. The density is 3.98 g/cm3.